# 1
The following is a DFT calculation (meta-GGA SCAN) of a PBEsol-optimized structure of Na2LaP.

The calculation puts the formation energy at -462 meV/atom. The volume comes out at 27.75 A^3/atom.

The space group is I-42d (No. 122) and the conventional cell measures 4.2166, 4.2166 and 24.9715 Å, with angles of 90.00, 90.00 and 90.00 degrees. The asymmetric unit holds Na at (0.2220, 0.2500, 0.1250), La at (0.0000, 0.0000, 0.5000) and P at (0.0000, 0.0000, 0.0000).

---

# 2
The following is a DFT calculation (meta-GGA SCAN) of a PBEsol-optimized structure of NiBiMo2Pt.

The calculation puts the formation energy at 1358 meV/atom. The volume comes out at 18.76 A^3/atom.

The space group is P4/mmm (No. 123) and the conventional cell measures 4.4107, 4.4107 and 4.8220 Å, with angles of 90.00, 90.00 and 90.00 degrees. The asymmetric unit holds Ni at (0.0000, 0.0000, 0.0000), Bi at (0.0000, 0.0000, 0.5000), Mo at (0.0000, 0.5000, 0.0000) and Pt at (0.5000, 0.5000, 0.5000).

---

# 3
The following is a DFT calculation (meta-GGA SCAN) of a PBEsol-optimized structure of RuWS2.

The volume comes out at 15.22 A^3/atom. For the formation energy from raw total energies, the calculation gives 0.254 eV per atom.

The space group is R-3m (No. 166, hexagonal axes) and the conventional cell measures 3.0056, 3.0056 and 23.3522 Å, with angles of 90.00, 90.00 and 120.00 degrees. The asymmetric unit holds Ru at (0.0000, 0.0000, 0.0000), W at (0.0000, 0.0000, 0.5000) and S at (0.0000, 0.0000, 0.4019).

---

# 4
The following is a DFT calculation (meta-GGA SCAN) of a PBEsol-optimized structure of MgSnS2Cl.

The volume comes out at 21.89 A^3/atom. For the formation energy from raw total energies, the calculation gives -0.568 eV per atom.

The space group is P4/mmm (No. 123) and the conventional cell measures 4.7844, 4.7844 and 4.7816 Å, with angles of 90.00, 90.00 and 90.00 degrees. The asymmetric unit holds Mg at (0.0000, 0.0000, 0.0000), Sn at (0.5000, 0.5000, 0.5000), S at (0.0000, 0.5000, 0.0000) and Cl at (0.0000, 0.0000, 0.5000).

---

# 5
The following is a DFT calculation (meta-GGA SCAN) of a PBEsol-optimized structure of LiCa2Ga2.

The calculation puts the formation energy at -362 meV/atom. The volume comes out at 24.71 A^3/atom.

The space group is P4/mbm (No. 127) and the conventional cell measures 7.8985, 7.8985 and 3.9609 Å, with angles of 90.00, 90.00 and 90.00 degrees. The asymmetric unit holds Li at (0.0000, 0.0000, 0.0000), Ca at (0.1731, 0.3269, 0.5000) and Ga at (0.1218, 0.6218, 0.0000).

---

# 6
The following is a DFT calculation (meta-GGA SCAN) of a PBEsol-optimized structure of Be2IrCl.

The volume comes out at 11.93 A^3/atom. For the formation energy from raw total energies, the calculation gives 0.156 eV per atom.

The space group is Cmmm (No. 65) and the conventional cell measures 5.3670, 6.3856 and 2.7842 Å, with angles of 90.00, 90.00 and 90.00 degrees. The asymmetric unit holds Be at (0.2500, 0.2500, 0.0000), Ir at (0.0000, 0.0000, 0.5000) and Cl at (0.0000, 0.5000, 0.5000).

---

# 7
The following is a DFT calculation (meta-GGA SCAN) of a PBEsol-optimized structure of ZnGa3Re.

The calculation puts the formation energy at 456 meV/atom. The volume comes out at 22.11 A^3/atom.

The space group is Pm-3m (No. 221) and the conventional cell measures 4.7997, 4.7997 and 4.7997 Å, with angles of 90.00, 90.00 and 90.00 degrees. The asymmetric unit holds Zn at (0.0000, 0.0000, 0.0000), Ga at (0.0000, 0.5000, 0.5000) and Re at (0.5000, 0.5000, 0.5000).

---

# 8
The following is a DFT calculation (meta-GGA SCAN) of a PBEsol-optimized structure of Ba4LiIn.

The calculation puts the formation energy at 287 meV/atom. The volume comes out at 44.70 A^3/atom.

The space group is F-43m (No. 216) and the conventional cell measures 10.2367, 10.2367 and 10.2367 Å, with angles of 90.00, 90.00 and 90.00 degrees. The asymmetric unit holds Ba at (0.1237, 0.1237, 0.3763), Li at (0.0000, 0.0000, 0.0000) and In at (0.2500, 0.2500, 0.7500).

---

| no. | density (g/cm³) |
| --- | --- |
| 1 | 3.229 |
| 2 | 11.588 |
| 3 | 9.517 |
| 4 | 3.681 |
| 5 | 3.045 |
| 6 | 8.551 |
| 7 | 6.920 |
| 8 | 4.155 |